IrOs3, optimized geometry, DFT GGA-PBEsol; calculated formation energy = 0.08 eV per atom
1.0
4.483 -1.350 0.000
4.483 1.350 0.000
-0.813 0.000 4.616
Ir Os
1 3
Cartesian
0.000 0.000 0.000
1.620 0.000 3.447
4.076 0.000 2.308
6.532 0.000 1.169

Dy3Tm, optimized geometry, DFT GGA-PBEsol; calculated formation energy = 0.02 eV per atom
1.0
4.876 0.000 0.000
0.000 4.876 0.000
0.000 0.000 4.876
Dy Tm
3 1
Cartesian
0.000 0.000 2.438
0.000 2.438 0.000
2.438 0.000 0.000
2.438 2.438 2.438

ZnOs3O, optimized geometry, DFT GGA-PBEsol; uncorrected formation energy = 1495 kJ/mol of formula units
1.0
4.462 0.000 0.000
0.000 4.462 0.000
0.000 0.000 4.462
Zn Os O
1 3 1
Cartesian
0.000 0.000 0.000
0.000 0.000 2.231
0.000 2.231 0.000
2.231 0.000 0.000
2.231 2.231 2.231

Na2BeGeC, optimized geometry, DFT GGA-PBEsol; calculated formation energy = 1.00 eV per atom
1.0
4.961 0.000 0.000
0.000 4.961 0.000
0.000 0.000 3.814
Na Be Ge C
2 1 1 1
Cartesian
0.000 2.480 0.000
2.480 0.000 0.000
0.000 0.000 1.907
2.480 2.480 1.907
2.480 2.480 0.000

| no. | calculated total energy (eV/atom) | magnetic moment (μB per formula unit) |
| --- | --- | --- |
| 1 | -11.5329 | 0.0 |
| 2 | -4.9430 | 0.0 |
| 3 | -5.5959 | 4.9 |
| 4 | -3.2722 | 0.0 |